Record 1
Compound: Hf6NbIn2
Source: Alexandria via LeMat-Bulk
Functional: GGA-PBE
Structure: optimized geometry

```
data_Hf6NbIn2
_chemical_formula_sum 'Hf6 Nb1 In2'
_space_group_name_H-M_alt 'P 1'
_space_group_IT_number 1
_space_group_name_Hall 'P 1'
_cell_length_a 4.736
_cell_length_b 6.765
_cell_length_c 8.182
_cell_angle_alpha 114.42
_cell_angle_beta 106.77
_cell_angle_gamma 90.00
loop_
_atom_site_label
_atom_site_type_symbol
_atom_site_fract_x
_atom_site_fract_y
_atom_site_fract_z
_atom_site_occupancy
Hf1 Hf 0.500 0.769 0.000 1
Hf2 Hf 0.500 0.231 0.000 1
In1 In 0.333 0.333 0.665 1
Hf3 Hf 0.159 0.401 0.319 1
Nb1 Nb 0.000 0.000 0.000 1
Hf4 Hf 0.841 0.081 0.681 1
In2 In 0.667 0.667 0.335 1
Hf5 Hf 0.159 0.919 0.319 1
Hf6 Hf 0.841 0.599 0.681 1
```

## Properties
- SG = C2/m
- magnetic moment (Bohr magnetons per cell) = 0.0
- E (eV/atom) = -7.91
- formation energy from the elements (meV per atom) = 450

Record 2
Compound: Dy2ZnCu
Source: Alexandria via LeMat-Bulk
Functional: GGA-PBE
Structure: optimized geometry

```
data_Dy2ZnCu
_chemical_formula_sum 'Dy2 Zn1 Cu1'
_space_group_name_H-M_alt 'P 1'
_space_group_IT_number 1
_space_group_name_Hall 'P 1'
_cell_length_a 3.388
_cell_length_b 3.388
_cell_length_c 10.571
_cell_angle_alpha 80.78
_cell_angle_beta 80.78
_cell_angle_gamma 60.00
loop_
_atom_site_label
_atom_site_type_symbol
_atom_site_fract_x
_atom_site_fract_y
_atom_site_fract_z
_atom_site_occupancy
Dy1 Dy 0.901 0.901 0.297 1
Dy2 Dy 0.099 0.099 0.703 1
Zn1 Zn 0.000 0.000 0.000 1
Cu1 Cu 0.500 0.500 0.500 1
```

## Properties
- SG = R-3m
- magnetic moment (Bohr magnetons per cell) = 0.0
- E (eV/atom) = -3.34
- formation energy from the elements (meV per atom) = 300

Record 3
Compound: GdHoHg
Source: Alexandria via LeMat-Bulk
Functional: GGA-PBE
Structure: optimized geometry

```
data_GdHoHg
_chemical_formula_sum 'Gd1 Ho1 Hg1'
_space_group_name_H-M_alt 'P 1'
_space_group_IT_number 1
_space_group_name_Hall 'P 1'
_cell_length_a 5.108
_cell_length_b 5.108
_cell_length_c 5.108
_cell_angle_alpha 60.00
_cell_angle_beta 60.00
_cell_angle_gamma 60.00
loop_
_atom_site_label
_atom_site_type_symbol
_atom_site_fract_x
_atom_site_fract_y
_atom_site_fract_z
_atom_site_occupancy
Hg1 Hg 0.250 0.250 0.250 1
Ho1 Ho 0.500 0.500 0.500 1
Gd1 Gd 0.000 0.000 0.000 1
```

## Properties
- SG = F-43m
- magnetic moment (Bohr magnetons per cell) = 7.8
- E above lowest polymorph (eV per atom) = 0.198
- E (eV/atom) = -6.44
- formation energy from the elements (meV per atom) = -122

Record 4
Compound: ScTe4Ir
Source: Alexandria via LeMat-Bulk
Functional: GGA-PBE
Structure: optimized geometry

```
data_ScTe4Ir
_chemical_formula_sum 'Sc1 Te4 Ir1'
_space_group_name_H-M_alt 'P 1'
_space_group_IT_number 1
_space_group_name_Hall 'P 1'
_cell_length_a 6.074
_cell_length_b 6.074
_cell_length_c 6.074
_cell_angle_alpha 60.00
_cell_angle_beta 60.00
_cell_angle_gamma 60.00
loop_
_atom_site_label
_atom_site_type_symbol
_atom_site_fract_x
_atom_site_fract_y
_atom_site_fract_z
_atom_site_occupancy
Te1 Te 0.376 0.872 0.376 1
Ir1 Ir 0.750 0.750 0.750 1
Te2 Te 0.872 0.376 0.376 1
Sc1 Sc 0.000 0.000 0.000 1
Te3 Te 0.376 0.376 0.376 1
Te4 Te 0.376 0.376 0.872 1
```

## Properties
- formation energy from raw total energies (eV/atom) = 0.831
- SG = F-43m
- magnetic moment (Bohr magnetons per cell) = 0.0
- E (eV/atom) = -3.80